No. 1
SrSb2Cl: optimized geometry, PBE.

```
4
Lattice="-4.501 2.859 -4.860 -4.050 -1.172 -5.855 -4.031 -0.814 1.472" Properties=species:S:1:pos:R:3 pbc="T T T"
Cl -3.145 0.218 -2.311
Sr -9.436 0.655 -6.933
Sb -6.291 0.390 -4.434
Sb -4.031 -0.768 1.284
```

Values from the calculation:
DOS(E_F) (states/eV/cell): 2.6
Volume (A^3/atom): 30.170
Formation energy from raw total energies (eV/f.u.): -3.93
Total moment (μB per cell): 0.0

No. 2
TmSiRh: optimized geometry, PBE.

```
6
Lattice="-0.801 2.208 -3.376 3.773 -0.683 -3.847 -2.579 -3.122 -3.935" Properties=species:S:1:pos:R:3 pbc="T T T"
Tm 1.594 0.585 -7.511
Tm -1.202 -2.182 -3.647
Rh -0.154 -1.759 -8.630
Rh 0.546 0.162 -2.529
Si 0.238 0.258 -4.898
Si 0.154 -1.855 -6.260
```

Values from the calculation:
DOS(E_F) (states/eV/cell): 3.3
Volume (A^3/atom): 17.981
Formation energy from raw total energies (eV/f.u.): -3.00
Total moment (μB per cell): 0.0

No. 3
Ho2CoNi4P3: optimized geometry, PBE.

```
10
Lattice="-1.791 3.183 1.307 -3.367 -1.924 0.071 1.709 -2.666 8.835" Properties=species:S:1:pos:R:3 pbc="T T T"
P 0.586 -0.721 8.315
P 0.854 -1.333 4.417
P -1.457 -1.316 1.209
Ni -2.579 0.629 0.689
Ni -1.051 -1.949 3.305
Ni 0.000 0.000 0.000
Ni 0.181 -0.088 6.219
Ho -0.398 -2.968 6.682
Ho -0.472 0.931 2.842
Co -1.725 -0.704 5.106
```

Values from the calculation:
DOS(E_F) (states/eV/cell): 9.2
Volume (A^3/atom): 14.120
Formation energy (eV/atom): -0.85
Total moment (μB per cell): 1.9

No. 4
SrCuTc2: optimized geometry, PBE.

```
4
Lattice="-3.084 -0.556 -1.166 1.214 -2.279 -2.124 -0.933 -5.033 4.868" Properties=species:S:1:pos:R:3 pbc="T T T"
Cu -1.168 -2.676 -0.428
Sr -1.635 -5.193 2.006
Tc -0.086 -0.464 0.449
Tc -0.381 -2.053 1.986
```

Values from the calculation:
DOS(E_F) (states/eV/cell): 2.6
Volume (A^3/atom): 19.741
Formation energy (eV/atom): 0.65
Total moment (μB per cell): 0.0

No. 5
Ce2ErPb3: optimized geometry, PBE.

```
12
Lattice="-2.309 1.307 -5.799 -7.533 -4.890 1.898 0.109 6.010 4.817" Properties=species:S:1:pos:R:3 pbc="T T T"
Pb -3.040 -0.568 -2.430
Pb -8.762 0.622 0.123
Pb -4.995 3.067 -0.827
Pb -6.803 -3.015 -1.472
Pb -0.972 1.804 0.793
Pb -4.739 -0.641 1.743
Ce -2.134 2.473 -2.100
Ce -5.901 0.028 -1.150
Ce -7.600 -0.047 3.016
Ce -3.833 2.398 2.066
Er -7.958 -2.362 -4.372
Er -1.885 -1.222 0.471
```

Values from the calculation:
DOS(E_F) (states/eV/cell): 16.5
Volume (A^3/atom): 32.326
Formation energy (eV/atom): -0.30
Total moment (μB per cell): 0.3

No. 6
La3Se: optimized geometry, PBE.

```
16
Lattice="6.820 0.000 0.000 -3.410 5.907 0.000 0.000 0.000 11.195" Properties=species:S:1:pos:R:3 pbc="T T T"
La 1.705 2.953 5.598
La 1.705 2.953 0.000
La 5.197 0.937 2.799
La -1.786 4.969 8.397
La -1.705 2.953 5.598
La -1.705 2.953 0.000
La 1.624 0.937 2.799
La 3.410 4.032 2.799
La 3.410 0.000 0.000
La 1.786 4.969 8.397
La 0.000 1.875 8.397
La 3.410 0.000 5.598
Se 0.000 0.000 0.000
Se 0.000 3.938 2.799
Se 0.000 0.000 5.598
Se 3.410 1.969 8.397
```

Values from the calculation:
DOS(E_F) (states/eV/cell): 17.2
Volume (A^3/atom): 28.189
Formation energy from raw total energies (eV/f.u.): -2.39
Total moment (μB per cell): 0.0

No. 7
Cs3NdY2Te6: optimized geometry, PBE.

```
12
Lattice="-6.723 -3.622 2.258 6.583 -0.705 4.426 -2.300 8.696 2.418" Properties=species:S:1:pos:R:3 pbc="T T T"
Te 0.298 4.210 7.441
Te -1.899 5.836 3.805
Te -0.541 -1.468 5.296
Te -2.739 0.159 1.660
Te 1.790 1.152 2.398
Te -4.231 3.217 6.703
Y 2.150 -1.677 3.703
Y -2.290 -2.650 2.980
Nd 0.000 0.000 0.000
Cs -5.680 1.207 3.824
Cs -1.220 2.184 4.551
Cs 3.240 3.162 5.277
```

Values from the calculation:
Volume (A^3/atom): 40.859
Formation energy from raw total energies (eV/f.u.): -16.86
Total moment (μB per cell): 0.0

No. 8
CaTc2Ru: optimized geometry, PBE.

```
4
Lattice="-3.028 0.667 0.341 -0.668 -3.977 1.840 0.881 1.823 4.261" Properties=species:S:1:pos:R:3 pbc="T T T"
Tc 0.000 0.000 0.000
Tc -1.848 -1.655 1.090
Ru 0.106 -1.077 3.050
Ca -1.074 1.245 2.301
```

Values from the calculation:
DOS(E_F) (states/eV/cell): 4.0
Volume (A^3/atom): 16.306
Formation energy (eV/atom): 0.54
Total moment (μB per cell): 0.0

No. 9
Tb8Tl2Fe: optimized geometry, PBE.

```
11
Lattice="-5.154 0.061 0.126 -0.151 -8.020 -2.306 2.800 1.971 8.065" Properties=species:S:1:pos:R:3 pbc="T T T"
Fe -2.577 0.030 0.063
Tb -2.575 -2.732 1.485
Tb -0.048 -2.545 -0.732
Tb -2.644 -6.406 0.429
Tb 0.139 0.418 5.456
Tb -2.457 -3.443 6.617
Tb 0.037 -0.506 1.759
Tb -2.543 -5.481 4.126
Tb 0.069 -3.256 4.400
Tl -2.488 -1.183 4.276
Tl -0.017 -4.805 1.609
```

Values from the calculation:
DOS(E_F) (states/eV/cell): 13.1
Volume (A^3/atom): 28.403
Formation energy (eV/atom): 0.01
Total moment (μB per cell): 0.3

No. 10
Pm3SmHg6: optimized geometry, PBE.

```
20
Lattice="5.230 0.000 0.000 0.000 9.007 -2.787 0.000 0.127 11.315" Properties=species:S:1:pos:R:3 pbc="T T T"
Hg 3.922 1.527 7.341
Hg 3.922 4.951 8.817
Hg 1.307 2.224 5.075
Hg 3.922 6.909 3.453
Hg 1.307 0.675 9.967
Hg 1.307 1.280 1.848
Hg 1.307 7.607 1.186
Hg 1.307 6.002 6.131
Hg 1.307 4.182 -0.290
Hg 3.922 8.458 -1.440
Hg 3.922 7.854 6.680
Hg 3.922 3.132 2.397
Pm 3.922 2.035 -0.540
Pm 3.922 5.847 0.517
Pm 1.307 4.636 2.942
Pm 3.922 4.498 5.585
Pm 1.307 3.286 8.010
Pm 1.307 7.099 9.067
Sm 1.307 8.517 4.303
Sm 3.922 0.616 4.225
```

Values from the calculation:
DOS(E_F) (states/eV/cell): 15.9
Volume (A^3/atom): 26.741
Formation energy (eV/atom): -0.44
Total moment (μB per cell): 0.0

No. 11
CeErBi: optimized geometry, PBE.

```
12
Lattice="-0.753 0.207 4.346 4.201 -0.808 0.766 3.441 17.652 -0.247" Properties=species:S:1:pos:R:3 pbc="T T T"
Bi 0.963 2.503 3.523
Bi 4.169 5.732 1.681
Bi 2.721 11.319 3.185
Bi 5.926 14.548 1.343
Ce 6.049 17.137 3.400
Ce 0.840 -0.086 1.465
Ce 4.264 8.329 3.900
Ce 2.626 8.722 0.966
Er 3.564 2.623 1.716
Er 5.319 11.439 1.394
Er 1.571 5.612 3.471
Er 3.325 14.428 3.149
```

Values from the calculation:
DOS(E_F) (states/eV/cell): 22.2
Volume (A^3/atom): 28.765
Formation energy (eV/atom): -0.56
Total moment (μB per cell): 2.2

No. 12
Re2HgSb: optimized geometry, PBE.

```
4
Lattice="-6.116 8.616 0.449 -6.148 7.935 3.330 -3.938 9.561 2.217" Properties=species:S:1:pos:R:3 pbc="T T T"
Re -16.017 25.813 5.927
Re -4.174 6.728 1.545
Sb -8.375 13.497 3.099
Hg -11.940 19.243 4.418
```

Values from the calculation:
DOS(E_F) (states/eV/cell): 3.0
Volume (A^3/atom): 19.805
Formation energy from raw total energies (eV/f.u.): 1.86
Total moment (μB per cell): 0.0

No. 13
TaCoSi: optimized geometry, PBE.

```
3
Lattice="-3.681 -1.583 0.319 2.536 -1.359 -2.807 1.009 -1.971 1.866" Properties=species:S:1:pos:R:3 pbc="T T T"
Ta 1.137 -2.748 -0.521
Co 0.168 -0.329 0.312
Si -1.441 -1.837 -0.412
```

Values from the calculation:
DOS(E_F) (states/eV/cell): 1.2
Volume (A^3/atom): 13.507
Formation energy from raw total energies (eV/f.u.): -1.60
Total moment (μB per cell): 0.2